DFT (GGA-PBE) results for crystalline CaSm2Th at its relaxed geometry.

Cell lengths 3.7804, 6.0321, 6.0321 Å; angles 90.00, 90.00, 90.00 degrees
With the nearest neighbours (Å) after each atom.
Atoms (fractional coordinates):
Sm (0.0000, 0.5000, 0.0000)  4 Th 3.56, 4 Ca 3.56, 2 Sm 3.78
Sm (0.0000, 0.0000, 0.5000)  4 Th 3.56, 4 Ca 3.56, 2 Sm 3.78
Th (0.5000, 0.5000, 0.5000)  8 Sm 3.56, 2 Th 3.78
Ca (0.5000, 0.0000, 0.0000)  8 Sm 3.56, 2 Ca 3.78

Summary:
Calculated volume in Å³ per cell: 138
Calculated total energy in eV/atom: -4.54
Energy relative to the elements in meV/atom: 179
Energy relative to the lowest polymorph listed for this composition in eV per atom: 0.142